First-principles (PBE) data for a relaxed structure of Sc4InPbO, as listed in the Alexandria database.

a b c (Å): 6.176 15.364 6.178
angles (deg): 90.00 90.00 90.00
Space group Cmcm (No. 63)
Unique sites:
Sc  0.000  0.090  0.250 [4 per cell]
Sc  0.000  0.407  0.250 [4 per cell]
Sc  0.250  0.250  0.000 [8 per cell]
In  0.000  0.107  0.750 [4 per cell]
Pb  0.000  0.396  0.750 [4 per cell]
O  0.000  0.250  0.250 [4 per cell]

## Properties
- DFT total energy (eV/atom) = -6.38
- ΔE_f (raw) (eV/atom) = -1.13
- D(E_F) (states/eV/atom) = 0.89
- crystal system = orthorhombic



First-principles (PBE) data for a relaxed structure of In2Si2Pb2O9, as listed in the Alexandria database.

a b c (Å): 10.685 11.606 7.235
angles (deg): 90.00 90.00 90.00
Space group Pna2_1 (No. 33)
Unique sites:
In  0.001  0.248  0.000 [4 per cell]
In  0.249  0.911  0.515 [4 per cell]
Si  0.244  0.672  0.204 [4 per cell]
Si  0.248  0.661  0.780 [4 per cell]
Pb  0.046  0.935  0.066 [4 per cell]
Pb  0.048  0.453  0.573 [4 per cell]
O  0.068  0.410  0.901 [4 per cell]
O  0.068  0.904  0.624 [4 per cell]
O  0.108  0.157  0.767 [4 per cell]
O  0.109  0.637  0.691 [4 per cell]
O  0.168  0.771  0.322 [4 per cell]
O  0.172  0.546  0.203 [4 per cell]
O  0.174  0.256  0.159 [4 per cell]
O  0.177  0.037  0.302 [4 per cell]
O  0.236  0.721  0.988 [4 per cell]

## Properties
- DFT total energy (eV/atom) = -6.54
- ΔE_f (raw) (eV/atom) = -1.99
- D(E_F) (states/eV/atom) = 0.00
- crystal system = orthorhombic



First-principles (PBE) data for a relaxed structure of Sm4InPbO, as listed in the Alexandria database.

a b c (Å): 6.653 17.450 6.638
angles (deg): 90.00 90.00 90.00
Space group Cmcm (No. 63)
Unique sites:
Sm  0.000  0.067  0.250 [4 per cell]
Sm  0.000  0.417  0.250 [4 per cell]
Sm  0.250  0.250  0.000 [8 per cell]
In  0.000  0.114  0.750 [4 per cell]
Pb  0.000  0.392  0.750 [4 per cell]
O  0.000  0.276  0.250 [4 per cell]

## Properties
- DFT total energy (eV/atom) = -5.45
- ΔE_f (raw) (eV/atom) = -1.12
- D(E_F) (states/eV/atom) = 0.71
- crystal system = orthorhombic



First-principles (PBE) data for a relaxed structure of InTcPb2O6, as listed in the Alexandria database.

a b c (Å): 5.773 5.825 10.014
angles (deg): 90.00 125.13 90.00
Space group P2_1/c (No. 14)
Unique sites:
In  0.000  0.000  0.000 [2 per cell]
Tc  0.500  0.000  0.500 [2 per cell]
Pb  0.256  0.032  0.750 [4 per cell]
O  0.184  0.022  0.263 [4 per cell]
O  0.264  0.700  0.040 [4 per cell]
O  0.345  0.225  0.042 [4 per cell]

## Properties
- DFT total energy (eV/atom) = -6.30
- ΔE_f (raw) (eV/atom) = -1.27
- D(E_F) (states/eV/atom) = 0.32
- crystal system = monoclinic



First-principles (PBE) data for a relaxed structure of In2TcPbO8, as listed in the Alexandria database.

a b c (Å): 6.837 7.017 6.696
angles (deg): 90.00 90.00 90.00
Space group Cmmm (No. 65)
Unique sites:
In  0.000  0.000  0.244 [4 per cell]
Tc  0.000  0.500  0.000 [2 per cell]
Pb  0.000  0.500  0.500 [2 per cell]
O  0.000  0.315  0.211 [8 per cell]
O  0.187  0.000  0.500 [4 per cell]
O  0.217  0.000  0.000 [4 per cell]

## Properties
- DFT total energy (eV/atom) = -6.19
- ΔE_f (raw) (eV/atom) = -1.26
- D(E_F) (states/eV/atom) = 0.14
- crystal system = orthorhombic



First-principles (PBE) data for a relaxed structure of InTc2PbO8, as listed in the Alexandria database.

a b c (Å): 5.8973 5.8973 7.0409
angles (deg): 90.00 90.00 120.00
Space group P-3 (No. 147)
Unique sites:
In  0.0000  0.0000  0.0000 [1 per cell]
Tc  0.3333  0.6667  0.2717 [2 per cell]
Pb  0.0000  0.0000  0.5000 [1 per cell]
O  0.1564  0.3195  0.2059 [6 per cell]
O  0.3333  0.6667  0.5210 [2 per cell]

## Properties
- DFT total energy (eV/atom) = -6.81
- ΔE_f (raw) (eV/atom) = -1.24
- D(E_F) (states/eV/atom) = 0.54
- crystal system = trigonal



First-principles (PBE) data for a relaxed structure of InTcPbO6, as listed in the Alexandria database.

a b c (Å): 5.5042 5.5042 5.0779
angles (deg): 90.00 90.00 120.00
Space group P312 (No. 149)
Unique sites:
In  0.0000  0.0000  0.0000 [1 per cell]
Tc  0.3333  0.6667  0.0000 [1 per cell]
Pb  0.6667  0.3333  0.5000 [1 per cell]
O  0.0645  0.3683  0.2164 [6 per cell]

## Properties
- DFT total energy (eV/atom) = -6.42
- ΔE_f (raw) (eV/atom) = -1.24
- D(E_F) (states/eV/atom) = 0.00
- crystal system = trigonal



First-principles (PBE) data for a relaxed structure of InTePb2O6, as listed in the Alexandria database.

a b c (Å): 5.912 5.952 8.371
angles (deg): 90.23 90.22 90.09
Space group P-1 (No. 2)
Unique sites:
In  0.000  0.000  0.000 [1 per cell]
In  0.500  0.500  0.500 [1 per cell]
Te  0.000  0.000  0.500 [1 per cell]
Te  0.500  0.500  0.000 [1 per cell]
Pb  0.004  0.525  0.246 [2 per cell]
Pb  0.491  0.968  0.756 [2 per cell]
O  0.077  0.982  0.271 [2 per cell]
O  0.194  0.696  0.968 [2 per cell]
O  0.204  0.744  0.545 [2 per cell]
O  0.254  0.210  0.541 [2 per cell]
O  0.306  0.194  0.971 [2 per cell]
O  0.431  0.481  0.254 [2 per cell]

## Properties
- DFT total energy (eV/atom) = -5.45
- ΔE_f (raw) (eV/atom) = -1.15
- D(E_F) (states/eV/atom) = 0.00
- crystal system = triclinic



First-principles (PBE) data for a relaxed structure of InTePbO6, as listed in the Alexandria database.

a b c (Å): 5.4963 5.4963 4.9369
angles (deg): 90.00 90.00 120.00
Space group P312 (No. 149)
Unique sites:
In  0.0000  0.0000  0.0000 [1 per cell]
Te  0.3333  0.6667  0.0000 [1 per cell]
Pb  0.6667  0.3333  0.5000 [1 per cell]
O  0.0435  0.3618  0.2219 [6 per cell]

## Properties
- DFT total energy (eV/atom) = -5.50
- ΔE_f (raw) (eV/atom) = -1.13
- D(E_F) (states/eV/atom) = 0.25
- crystal system = trigonal



First-principles (PBE) data for a relaxed structure of In2TePbO8, as listed in the Alexandria database.

a b c (Å): 4.895 6.695 4.898
angles (deg): 90.00 92.40 90.00
Space group P2/m (No. 10)
Unique sites:
In  0.000  0.244  0.000 [2 per cell]
Te  0.500  0.000  0.500 [1 per cell]
Pb  0.500  0.500  0.500 [1 per cell]
O  0.192  0.500  0.191 [2 per cell]
O  0.212  0.000  0.211 [2 per cell]
O  0.314  0.220  0.685 [4 per cell]

## Properties
- DFT total energy (eV/atom) = -5.53
- ΔE_f (raw) (eV/atom) = -1.19
- D(E_F) (states/eV/atom) = 0.12
- crystal system = monoclinic



First-principles (PBE) data for a relaxed structure of InTe2PbO8, as listed in the Alexandria database.

a b c (Å): 5.9823 5.9823 7.1999
angles (deg): 90.00 90.00 120.00
Space group P-3 (No. 147)
Unique sites:
In  0.0000  0.0000  0.0000 [1 per cell]
Te  0.3333  0.6667  0.2711 [2 per cell]
Pb  0.0000  0.0000  0.5000 [1 per cell]
O  0.1545  0.8431  0.2034 [6 per cell]
O  0.3333  0.6667  0.5252 [2 per cell]

## Properties
- DFT total energy (eV/atom) = -5.30
- ΔE_f (raw) (eV/atom) = -0.93
- D(E_F) (states/eV/atom) = 0.22
- crystal system = trigonal



First-principles (PBE) data for a relaxed structure of Ti2InPb3O9, as listed in the Alexandria database.

a b c (Å): 5.7270 5.7270 7.2226
angles (deg): 90.00 90.00 120.00
Space group P-3m1 (No. 164)
Unique sites:
Ti  0.3333  0.6667  0.1861 [2 per cell]
In  0.0000  0.0000  0.5000 [1 per cell]
Pb  0.0000  0.0000  0.0000 [1 per cell]
Pb  0.3333  0.6667  0.7290 [2 per cell]
O  0.0000  0.5000  0.0000 [3 per cell]
O  0.1693  0.3385  0.3125 [6 per cell]

## Properties
- DFT total energy (eV/atom) = -6.79
- ΔE_f (raw) (eV/atom) = -1.84
- D(E_F) (states/eV/atom) = 0.65
- crystal system = trigonal